TlPbSeN2: relaxed, PBE.

Output
Formation energy from raw total energies: 1348 meV per atom
Total moment: 3.15 μB/f.u.
Offset from the most stable computed form: 0.000 eV/atom
Volume: 25.32 Å³ per atom

abc: 4.6626 4.6626 5.8237
angles: 90.00 90.00 90.00
Space group P4/mmm (No. 123)
Inequivalent atoms, fractional coordinates:
Tl 0.0000 0.0000 0.0000 x1
Pb 0.5000 0.5000 0.5000 x1
Se 0.5000 0.5000 0.0000 x1
N 0.0000 0.5000 0.5000 x2